Record 1
Compound: SrLiMgCd2
Source: Alexandria
Functional: GGA-PBE
Structure: relaxed

Geometry as POSCAR:
```
SrLiMgCd2
1.0
-2.255 2.255 6.681
2.255 -2.255 6.681
2.255 2.255 -6.681
Sr Li Mg Cd
1 1 1 2
direct
0.000 0.000 0.000 Sr
0.250 0.750 0.500 Li
0.750 0.250 0.500 Mg
0.390 0.390 0.000 Cd
0.610 0.610 0.000 Cd
```

* space-group type: I-4m2
* excess energy over the best structure of this formula in the dataset: 0.000 eV per atom
* volume: 27.19 A^3/atom
* energy of formation from the pure elements: -0.2129 eV per atom
* crystal system: tetragonal



Record 2
Compound: Sr2Li2MgCd5
Source: Alexandria
Functional: GGA-PBE
Structure: relaxed

Geometry as POSCAR:
```
Sr2Li2MgCd5
1.0
11.190 0.000 0.000
0.000 11.190 0.000
0.000 0.000 4.020
Sr Li Mg Cd
4 4 2 10
direct
0.182 0.318 0.000 Sr
0.318 0.818 0.000 Sr
0.682 0.182 0.000 Sr
0.818 0.682 0.000 Sr
0.117 0.617 0.000 Li
0.383 0.117 0.000 Li
0.617 0.883 0.000 Li
0.883 0.383 0.000 Li
0.000 0.000 0.000 Mg
0.500 0.500 0.000 Mg
0.000 0.500 0.500 Cd
0.052 0.799 0.500 Cd
0.201 0.052 0.500 Cd
0.299 0.552 0.500 Cd
0.448 0.299 0.500 Cd
0.500 0.000 0.500 Cd
0.552 0.701 0.500 Cd
0.701 0.448 0.500 Cd
0.799 0.948 0.500 Cd
0.948 0.201 0.500 Cd
```

* space-group type: P4/mbm
* volume: 25.17 A^3/atom
* energy of formation from the pure elements: -0.2321 eV per atom
* crystal system: tetragonal



Record 3
Compound: Sr2Li12MgCd3
Source: Alexandria
Functional: GGA-PBE
Structure: relaxed

Geometry as POSCAR:
```
Sr2Li12MgCd3
1.0
5.076 2.931 4.733
-5.076 2.931 4.733
0.000 -5.861 4.733
Sr Li Mg Cd
2 12 1 3
direct
0.236 0.236 0.236 Sr
0.764 0.764 0.764 Sr
0.082 0.082 0.647 Li
0.082 0.647 0.082 Li
0.228 0.695 0.695 Li
0.305 0.305 0.772 Li
0.305 0.772 0.305 Li
0.353 0.918 0.918 Li
0.647 0.082 0.082 Li
0.695 0.228 0.695 Li
0.695 0.695 0.228 Li
0.772 0.305 0.305 Li
0.918 0.353 0.918 Li
0.918 0.918 0.353 Li
0.500 0.500 0.500 Mg
0.000 0.500 0.500 Cd
0.500 0.000 0.500 Cd
0.500 0.500 0.000 Cd
```

* space-group type: R-3m
* volume: 23.47 A^3/atom
* energy of formation from the pure elements: -0.0208 eV per atom
* crystal system: trigonal